Version one
Density functional theory data (PBE-GGA) for crystalline NdSmPu at its relaxed geometry.

```
NdSmPu
1.0
3.596 0.000 0.000
-1.798 3.114 0.000
0.000 0.000 8.690
Nd Sm Pu
1 1 1
direct
0.000 0.000 0.000 Nd
0.667 0.333 0.345 Sm
0.333 0.667 0.671 Pu
```

Output
D(E_F): 8.74 states/eV/f.u.
size of the total moment: 6.290 μB/f.u.


Version two
Density functional theory data (PBE-GGA) for crystalline NdSmPu at its relaxed geometry.

```
NdSmPu
1.0
-1.784 1.784 7.583
1.784 -1.784 7.583
1.784 1.784 -7.583
Nd Sm Pu
1 1 1
direct
0.000 0.000 0.000 Nd
0.326 0.326 0.000 Sm
0.664 0.664 0.000 Pu
```

Output
D(E_F): 6.84 states/eV/f.u.
size of the total moment: 6.189 μB/f.u.


It is version two that is most stable; the runner-up trails by 0.016 eV/atom.


Version one
Density functional theory data (PBE-GGA) for crystalline Nd2PuSn at its relaxed geometry.

```
Nd2PuSn
1.0
1.732 1.000 12.049
-1.732 1.000 12.049
0.000 -1.999 12.049
Nd Pu Sn
2 1 1
direct
0.092 0.092 0.092 Nd
0.908 0.908 0.908 Nd
0.000 0.000 0.000 Pu
0.500 0.500 0.500 Sn
```

Output
D(E_F): 12.09 states/eV/f.u.
size of the total moment: 6.271 μB/f.u.


Version two
Density functional theory data (PBE-GGA) for crystalline Nd2PuSn at its relaxed geometry.

```
Nd2PuSn
1.0
0.000 3.894 3.894
3.894 0.000 3.894
3.894 3.894 0.000
Nd Pu Sn
2 1 1
direct
0.250 0.250 0.250 Nd
0.750 0.750 0.750 Nd
0.000 0.000 0.000 Pu
0.500 0.500 0.500 Sn
```

Output
D(E_F): 18.33 states/eV/f.u.
size of the total moment: 6.744 μB/f.u.


It is version two that is most stable; the runner-up trails by 0.254 eV/atom.


Version one
Density functional theory data (PBE-GGA) for crystalline NdPu2Sn at its relaxed geometry.

```
NdPu2Sn
1.0
0.000 3.820 3.820
3.820 0.000 3.820
3.820 3.820 0.000
Nd Pu Sn
1 2 1
direct
0.000 0.000 0.000 Nd
0.250 0.250 0.250 Pu
0.750 0.750 0.750 Pu
0.500 0.500 0.500 Sn
```

Output
D(E_F): 14.07 states/eV/f.u.
size of the total moment: 13.700 μB/f.u.


Version two
Density functional theory data (PBE-GGA) for crystalline NdPu2Sn at its relaxed geometry.

```
NdPu2Sn
1.0
4.639 0.000 0.000
0.000 4.639 0.000
0.000 0.000 5.139
Nd Pu Sn
1 2 1
direct
0.000 0.000 0.000 Nd
0.000 0.500 0.500 Pu
0.500 0.000 0.500 Pu
0.500 0.500 0.000 Sn
```

Output
D(E_F): 11.02 states/eV/f.u.
size of the total moment: 12.384 μB/f.u.


It is version two that is most stable; the runner-up trails by 0.274 eV/atom.